VASP calculation (PBE) on a geometry-optimized ZrTe2Ir structure.

The calculation puts the spin magnetization at 0.00 μB per formula unit. The calculation puts the uncorrected formation energy at -0.0695 eV/atom. The mass density is 10.70 g/cm3. The energy above the most stable polymorph in this dataset comes out at 564 meV per atom. The space-group type is Fm-3m.

Structure (extended XYZ):
```
4
Lattice="3.561 -1.139 3.179 -0.179 -4.236 2.471 3.173 -3.592 -1.054" Properties=species:S:1:pos:R:3 pbc="T T T"
Ir 3.277 -4.483 2.298
Te 4.916 -6.725 3.447
Te 1.639 -2.242 1.149
Zr 0.000 0.000 0.000
```

VASP calculation (PBE) on a geometry-optimized TeHSe structure.

The calculation puts the spin magnetization at 0.00 μB per formula unit. The mass density is 4.36 g/cm3. The energy above the most stable polymorph in this dataset comes out at 84 meV per atom. The space-group type is P1.

Structure (extended XYZ):
```
3
Lattice="3.495 0.036 0.000 1.577 4.363 -0.004 0.005 0.084 5.203" Properties=species:S:1:pos:R:3 pbc="T T T"
Te 3.307 4.082 2.438
H 2.790 1.401 5.013
Se 1.479 0.658 5.028
```

VASP calculation (PBE) on a geometry-optimized Nd2Y5Ni2 structure.

The calculation puts the spin magnetization at 0.00 μB per formula unit. The raw total energy comes out at -6.071 eV/atom. The mass density is 5.60 g/cm3. The space-group type is Cmce.

Structure (extended XYZ):
```
18
Lattice="-6.427 2.875 0.140 -0.699 -1.890 6.726 0.827 10.328 2.988" Properties=species:S:1:pos:R:3 pbc="T T T"
Ni -3.063 -0.570 5.977
Ni -1.033 -0.377 2.578
Ni -4.064 1.555 0.888
Ni -6.093 1.362 4.288
Nd -1.695 4.604 4.782
Nd -4.605 6.710 5.072
Nd -4.559 6.986 1.489
Nd -1.041 6.217 1.639
Y -4.651 3.655 2.935
Y -4.969 8.808 8.014
Y -5.556 10.172 4.672
Y 0.000 0.000 0.000
Y -2.236 9.022 3.577
Y -3.563 0.493 3.433
Y -0.744 1.142 5.182
Y -1.330 2.506 1.840
Y -1.649 7.658 6.919
Y -4.064 2.291 6.277
```

VASP calculation (PBE) on a geometry-optimized Np2CuO6 structure.

The calculation puts the spin magnetization at 3.00 μB per formula unit. The calculation puts the uncorrected formation energy at -2.3526 eV/atom. The mass density is 7.59 g/cm3. The space-group type is Pnnm.

Structure (extended XYZ):
```
18
Lattice="-2.548 -4.179 -1.956 3.759 -3.186 1.910 -5.076 -0.888 8.510" Properties=species:S:1:pos:R:3 pbc="T T T"
Np -1.559 -2.195 6.719
Np -2.306 -6.058 1.744
Np 1.585 -5.433 2.441
Np -5.449 -2.821 6.022
O -0.385 -3.302 5.241
O -3.270 -2.431 5.729
O -2.443 -6.146 5.834
O 1.381 -5.373 0.263
O -0.594 -5.822 2.735
O -5.245 -2.880 8.200
O -5.074 -4.776 5.987
O -3.479 -4.951 3.223
O 1.210 -3.477 2.477
O -2.018 -4.042 7.887
O -1.847 -4.211 0.577
O -1.421 -2.107 2.629
Cu -2.538 -0.444 4.255
Cu 0.606 -3.682 -0.023
```

VASP calculation (PBE) on a geometry-optimized BeAgN structure.

The calculation puts the spin magnetization at 0.00 μB per formula unit. The calculation puts the uncorrected formation energy at -0.0101 eV/atom. The mass density is 3.83 g/cm3. The space-group type is Imma.

Structure (extended XYZ):
```
12
Lattice="-1.578 -7.006 2.656 5.844 -1.252 0.170 0.231 1.711 4.649" Properties=species:S:1:pos:R:3 pbc="T T T"
Ag 0.336 -5.140 3.197
Ag 4.162 -1.407 4.278
Ag 1.124 -1.637 1.869
Ag 3.373 -4.910 5.607
Be 0.000 0.000 0.000
Be -0.673 -2.648 3.653
Be 2.922 -0.626 0.085
Be 2.249 -3.273 3.738
N 3.022 -6.341 7.141
N 1.476 -0.205 0.335
N 3.724 -3.479 4.072
N 0.773 -3.068 3.403
```

VASP calculation (PBE) on a geometry-optimized CoTcRh2 structure.

The calculation puts the spin magnetization at 0.00 μB per formula unit. The mass density is 11.01 g/cm3. The energy above the most stable polymorph in this dataset comes out at 359 meV per atom. The space-group type is Fm-3m.

Structure (extended XYZ):
```
4
Lattice="0.000 3.013 3.013 3.013 0.000 3.013 3.013 3.013 0.000" Properties=species:S:1:pos:R:3 pbc="T T T"
Rh 1.507 1.507 1.507
Rh 4.520 4.520 4.520
Tc 3.013 3.013 3.013
Co 0.000 0.000 0.000
```

VASP calculation (PBE) on a geometry-optimized LiTeSI2 structure.

The calculation puts the spin magnetization at 0.00 μB per formula unit. The calculation puts the uncorrected formation energy at 0.0688 eV/atom. The mass density is 4.07 g/cm3. The energy above the most stable polymorph in this dataset comes out at 0 meV per atom. The space-group type is P4/mmm.

Structure (extended XYZ):
```
5
Lattice="-3.050 1.370 4.571 -4.684 0.178 -3.179 -0.863 -5.191 0.980" Properties=species:S:1:pos:R:3 pbc="T T T"
I -1.525 0.685 2.286
I -2.342 0.089 -1.589
Li -4.298 -1.822 1.186
Te -0.431 -2.596 0.490
S 0.000 0.000 0.000
```

VASP calculation (PBE) on a geometry-optimized Y2Cu5Ni5 structure.

The calculation puts the spin magnetization at 0.00 μB per formula unit. The mass density is 7.67 g/cm3. The energy above the most stable polymorph in this dataset comes out at 4 meV per atom. The space-group type is Pmmm.

Structure (extended XYZ):
```
12
Lattice="3.980 0.000 0.000 0.000 4.988 0.000 0.000 0.000 8.607" Properties=species:S:1:pos:R:3 pbc="T T T"
Cu 0.000 4.988 5.766
Cu 0.000 4.988 2.841
Cu 0.000 2.494 1.440
Cu 1.990 4.988 4.304
Cu 0.000 2.494 7.167
Ni 1.990 1.250 6.471
Ni 1.990 2.494 0.000
Ni 1.990 3.738 2.136
Ni 1.990 1.250 2.136
Ni 1.990 3.738 6.471
Y 0.000 0.000 0.000
Y 0.000 2.494 4.304
```

VASP calculation (PBE) on a geometry-optimized ScTlCl2 structure.

The calculation puts the spin magnetization at 0.28 μB per formula unit. The calculation puts the uncorrected formation energy at -1.2173 eV/atom. The mass density is 4.72 g/cm3. The energy above the most stable polymorph in this dataset comes out at 93 meV per atom. The space-group type is Cm.

Structure (extended XYZ):
```
4
Lattice="-2.233 4.986 -3.068 -4.677 2.594 -3.263 -3.893 3.726 3.077" Properties=species:S:1:pos:R:3 pbc="T T T"
Cl -3.764 3.623 2.739
Cl -8.143 8.604 -3.452
Sc -5.933 6.117 -0.656
Tl -2.257 2.342 -0.434
```

VASP calculation (PBE) on a geometry-optimized TbSc5P6 structure.

The calculation puts the spin magnetization at 0.00 μB per formula unit. The raw total energy comes out at -7.223 eV/atom. The mass density is 4.05 g/cm3. The space-group type is C2/m.

Structure (extended XYZ):
```
12
Lattice="-3.100 4.049 -4.176 -4.672 3.344 3.233 1.435 5.789 2.808" Properties=species:S:1:pos:R:3 pbc="T T T"
Sc -4.982 6.723 1.537
Sc -2.162 6.084 4.026
Sc -1.355 6.459 0.328
Sc -1.075 3.049 2.015
Sc -3.886 3.697 -0.472
P -5.778 5.500 -0.712
P -2.213 5.280 -1.868
P -4.123 7.901 3.732
P -3.362 8.248 0.124
P -1.994 1.893 -0.231
P -2.975 4.933 1.741
Tb 0.000 0.000 0.000
```

VASP calculation (PBE) on a geometry-optimized AcPm2Ag structure.

The calculation puts the spin magnetization at 0.00 μB per formula unit. The mass density is 8.13 g/cm3. The energy above the most stable polymorph in this dataset comes out at 255 meV per atom. The space-group type is Fm-3m.

Structure (extended XYZ):
```
4
Lattice="5.651 0.000 0.000 2.825 4.894 0.000 2.825 1.631 4.614" Properties=species:S:1:pos:R:3 pbc="T T T"
Ac 0.000 0.000 0.000
Pm 8.476 4.894 3.460
Pm 2.825 1.631 1.153
Ag 5.651 3.262 2.307
```

VASP calculation (PBE) on a geometry-optimized Ca2ZrOs2 structure.

The calculation puts the spin magnetization at 1.25 μB per formula unit. The mass density is 7.02 g/cm3. The energy above the most stable polymorph in this dataset comes out at 0 meV per atom. The space-group type is I4/mmm.

Structure (extended XYZ):
```
5
Lattice="-1.290 -2.371 2.242 -1.572 -1.661 -2.661 7.207 -8.006 -1.574" Properties=species:S:1:pos:R:3 pbc="T T T"
Ca 3.578 -8.498 -1.436
Ca 0.767 -3.540 -0.557
Os 2.243 -6.196 0.229
Os 2.102 -5.842 -2.222
Zr 0.000 0.000 0.000
```